# Cs2NaMg2Cl7 PBE-GGA optimized geometry
# **ΔE_f (raw)**: -1856.6 meV/atom
# **Total magnetic moment**: 0.0 μB per formula unit
data_Cs2NaMg2Cl7
_chemical_formula_sum 'Cs2 Na1 Mg2 Cl7'
_space_group_name_H-M_alt 'P 1'
_space_group_IT_number 1
_cell_length_a 5.0847
_cell_length_b 5.0847
_cell_length_c 13.9230
_cell_angle_alpha 79.49
_cell_angle_beta 79.49
_cell_angle_gamma 89.99
loop_
_space_group_symop_operation_xyz
'x,y,z'
loop_
_atom_site_label
_atom_site_type_symbol
_atom_site_fract_x
_atom_site_fract_y
_atom_site_fract_z
Cs1 Cs 0.1806 0.1806 0.6384
Cs2 Cs 0.8194 0.8194 0.3616
Na1 Na 0.0000 0.0000 0.0000
Mg1 Mg 0.5922 0.5922 0.8155
Mg2 Mg 0.4078 0.4078 0.1845
Cl1 Cl 0.4125 0.9125 0.1752
Cl2 Cl 0.0875 0.5875 0.8248
Cl3 Cl 0.9125 0.4125 0.1752
Cl4 Cl 0.3152 0.3152 0.3702
Cl5 Cl 0.5875 0.0875 0.8248
Cl6 Cl 0.6848 0.6848 0.6298
Cl7 Cl 0.5000 0.5000 0.0000